# 1
This record from Alexandria describes a geometry-optimized Ca2B3H13O13 structure. The functional is PBE.

Lattice parameters (Å, degrees): 7.331 8.040 9.890 107.72 110.78 94.64
Space group P-1 (No. 2)
Unique sites:
Ca 0.085 0.386 0.329 (multiplicity 2)
Ca 0.243 0.420 0.966 (multiplicity 2)
B 0.133 0.785 0.027 (multiplicity 2)
B 0.189 0.739 0.287 (multiplicity 2)
B 0.357 0.029 0.288 (multiplicity 2)
H 0.006 0.246 0.597 (multiplicity 2)
H 0.079 0.046 0.379 (multiplicity 2)
H 0.130 0.129 0.084 (multiplicity 2)
H 0.149 0.931 0.649 (multiplicity 2)
H 0.312 0.490 0.690 (multiplicity 2)
H 0.338 0.066 0.000 (multiplicity 2)
H 0.344 0.644 0.628 (multiplicity 2)
H 0.358 0.752 0.943 (multiplicity 2)
H 0.372 0.998 0.573 (multiplicity 2)
H 0.395 0.076 0.857 (multiplicity 2)
H 0.413 0.598 0.296 (multiplicity 2)
H 0.435 0.295 0.775 (multiplicity 2)
H 0.474 0.270 0.463 (multiplicity 2)
O 0.002 0.682 0.306 (multiplicity 2)
O 0.009 0.866 0.604 (multiplicity 2)
O 0.082 0.239 0.071 (multiplicity 2)
O 0.142 0.672 0.121 (multiplicity 2)
O 0.215 0.700 0.910 (multiplicity 2)
O 0.238 0.546 0.609 (multiplicity 2)
O 0.240 0.970 0.118 (multiplicity 2)
O 0.257 0.934 0.360 (multiplicity 2)
O 0.332 0.635 0.359 (multiplicity 2)
O 0.371 0.223 0.355 (multiplicity 2)
O 0.383 0.146 0.954 (multiplicity 2)
O 0.438 0.014 0.684 (multiplicity 2)
O 0.448 0.425 0.818 (multiplicity 2)

calculated total energy: -5.95 eV/atom
total magnetization: 0.00 μB per atom

# 2
This record from Alexandria describes a geometry-optimized CaB8H4O15 structure. The functional is PBE.

Lattice parameters (Å, degrees): 7.608 8.443 9.830 90.00 107.95 90.00
Space group P2_1 (No. 4)
Unique sites:
Ca 0.100 0.000 0.278 (multiplicity 2)
B 0.021 0.670 0.489 (multiplicity 2)
B 0.040 0.660 0.020 (multiplicity 2)
B 0.074 0.911 0.901 (multiplicity 2)
B 0.080 0.913 0.641 (multiplicity 2)
B 0.133 0.623 0.283 (multiplicity 2)
B 0.374 0.930 0.847 (multiplicity 2)
B 0.414 0.519 0.732 (multiplicity 2)
B 0.423 0.536 0.480 (multiplicity 2)
H 0.338 0.480 0.909 (multiplicity 2)
H 0.357 0.966 0.573 (multiplicity 2)
H 0.357 0.983 0.101 (multiplicity 2)
H 0.387 0.488 0.181 (multiplicity 2)
O 0.000 0.481 0.248 (multiplicity 2)
O 0.005 0.755 0.603 (multiplicity 2)
O 0.013 0.004 0.003 (multiplicity 2)
O 0.014 0.747 0.898 (multiplicity 2)
O 0.041 0.016 0.516 (multiplicity 2)
O 0.082 0.731 0.382 (multiplicity 2)
O 0.112 0.719 0.155 (multiplicity 2)
O 0.279 0.922 0.945 (multiplicity 2)
O 0.284 0.910 0.704 (multiplicity 2)
O 0.286 0.492 0.804 (multiplicity 2)
O 0.323 0.563 0.340 (multiplicity 2)
O 0.343 0.549 0.587 (multiplicity 2)
O 0.393 0.992 0.486 (multiplicity 2)
O 0.397 0.018 0.205 (multiplicity 2)
O 0.440 0.463 0.102 (multiplicity 2)

calculated total energy: -7.35 eV/atom
total magnetization: 0.00 μB per atom

# 3
This record from Alexandria describes a geometry-optimized Ca3B4H12O3 structure. The functional is PBE.

Lattice parameters (Å, degrees): 9.014 8.084 11.842 90.00 90.00 90.00
Space group Cmc2_1 (No. 36)
Unique sites:
Ca 0.000 0.081 0.000 (multiplicity 4)
Ca 0.232 0.222 0.269 (multiplicity 8)
B 0.000 0.000 0.276 (multiplicity 4)
B 0.000 0.493 0.757 (multiplicity 4)
B 0.225 0.220 0.522 (multiplicity 8)
H 0.000 0.355 0.801 (multiplicity 4)
H 0.000 0.405 0.334 (multiplicity 4)
H 0.108 0.492 0.195 (multiplicity 8)
H 0.125 0.238 0.454 (multiplicity 8)
H 0.161 0.333 0.979 (multiplicity 8)
H 0.185 0.120 0.594 (multiplicity 8)
H 0.243 0.356 0.565 (multiplicity 8)
O 0.000 0.122 0.193 (multiplicity 4)
O 0.133 0.049 0.824 (multiplicity 8)

calculated total energy: -5.00 eV/atom
total magnetization: 0.00 μB per atom

# 4
This record from Alexandria describes a geometry-optimized CaB2H4O6 structure. The functional is PBE.

Lattice parameters (Å, degrees): 10.139 9.612 4.463 90.00 91.04 90.00
Space group C2/c (No. 15)
Unique sites:
Ca 0.000 0.211 0.250 (multiplicity 4)
B 0.207 0.068 0.810 (multiplicity 8)
H 0.118 0.477 0.374 (multiplicity 8)
H 0.203 0.279 0.725 (multiplicity 8)
O 0.143 0.200 0.704 (multiplicity 8)
O 0.143 0.419 0.200 (multiplicity 8)
O 0.166 0.049 0.121 (multiplicity 8)

calculated total energy: -6.45 eV/atom
total magnetization: 0.00 μB per atom
energy above the lowest structure with this stoichiometry: 0.0000 eV/atom

# 5
This record from Alexandria describes a geometry-optimized CaB2H4O6 structure. The functional is PBE.

Lattice parameters (Å, degrees): 6.983 12.392 11.411 90.00 120.42 90.00
Space group P2_1/c (No. 14)
Unique sites:
Ca 0.061 0.240 0.262 (multiplicity 4)
Ca 0.414 0.102 0.635 (multiplicity 4)
B 0.081 0.509 0.836 (multiplicity 4)
B 0.197 0.695 0.595 (multiplicity 4)
B 0.346 0.653 0.020 (multiplicity 4)
B 0.454 0.665 0.266 (multiplicity 4)
H 0.003 0.075 0.903 (multiplicity 4)
H 0.067 0.586 0.080 (multiplicity 4)
H 0.211 0.187 0.083 (multiplicity 4)
H 0.238 0.056 0.242 (multiplicity 4)
H 0.246 0.021 0.792 (multiplicity 4)
H 0.376 0.605 0.537 (multiplicity 4)
H 0.431 0.045 0.095 (multiplicity 4)
H 0.488 0.223 0.014 (multiplicity 4)
O 0.022 0.151 0.934 (multiplicity 4)
O 0.077 0.080 0.425 (multiplicity 4)
O 0.084 0.044 0.219 (multiplicity 4)
O 0.134 0.070 0.724 (multiplicity 4)
O 0.172 0.735 0.987 (multiplicity 4)
O 0.276 0.576 0.908 (multiplicity 4)
O 0.288 0.749 0.228 (multiplicity 4)
O 0.321 0.217 0.174 (multiplicity 4)
O 0.350 0.601 0.613 (multiplicity 4)
O 0.409 0.595 0.149 (multiplicity 4)
O 0.445 0.208 0.463 (multiplicity 4)
O 0.450 0.598 0.375 (multiplicity 4)

calculated total energy: -6.45 eV/atom
total magnetization: 0.00 μB per atom
energy above the lowest structure with this stoichiometry: 0.0026 eV/atom

# 6
This record from Alexandria describes a geometry-optimized CaB2H12O10 structure. The functional is PBE.

Lattice parameters (Å, degrees): 8.008 6.568 7.985 90.00 104.15 90.00
Space group P2/c (No. 13)
Unique sites:
Ca 0.000 0.030 0.250 (multiplicity 2)
B 0.186 0.277 0.568 (multiplicity 4)
H 0.081 0.341 0.014 (multiplicity 4)
H 0.219 0.472 0.244 (multiplicity 4)
H 0.338 0.167 0.806 (multiplicity 4)
H 0.357 0.232 0.416 (multiplicity 4)
H 0.364 0.329 0.074 (multiplicity 4)
H 0.378 0.090 0.097 (multiplicity 4)
O 0.003 0.226 0.967 (multiplicity 4)
O 0.227 0.488 0.627 (multiplicity 4)
O 0.231 0.254 0.400 (multiplicity 4)
O 0.271 0.118 0.692 (multiplicity 4)
O 0.421 0.206 0.039 (multiplicity 4)

calculated total energy: -5.73 eV/atom
total magnetization: 0.00 μB per atom